A plane-wave DFT calculation with PBE-GGA was carried out for a relaxed Tb2Sm6Rh crystal.

Cell lengths 3.661, 9.186, 9.908 Å; angles 117.61, 90.00, 90.00 degrees
Sites, in units of the cell vectors:
1 Tb 0.500 0.674 0.348
2 Tb 0.500 0.326 0.652
3 Sm 0.000 0.335 0.333
4 Sm 0.000 0.002 0.667
5 Sm 0.000 0.665 0.667
6 Sm 0.500 0.228 0.000
7 Sm 0.000 0.998 0.333
8 Sm 0.500 0.772 0.000
9 Rh 0.000 0.000 0.000

Results
Fermi-level density of states	14.12	states/eV/f.u.
calculated volume	32.8	Å³/atom
energy	-4.96	eV/atom
total magnetization	0.00	μB/f.u.